The following is a DFT calculation (GGA-PBE) of a geometry-optimized Bi7SbI12 structure.

Cell lengths 16.2755, 16.2755, 12.1926 Å; angles 90.00, 90.00, 120.00 degrees
Space group R-3 (No. 148, hexagonal axes)
Inequivalent atoms, fractional coordinates:
Bi 0.0000 0.0000 0.0000 x3
Bi 0.0531 0.8844 0.3367 x18
Sb 0.0000 0.0000 0.5000 x3
I 0.0551 0.4534 0.1717 x18
I 0.0638 0.8845 0.8527 x18

The size of the total moment comes out at 0.00 μB per cell. The value obtained for the density of states at the Fermi level is 6.235 states/eV per cell. As for the total energy: -2.725 eV/atom. As for the crystal system: trigonal. The calculation puts the uncorrected formation energy at -0.230 eV/atom.